No. 1
{"formula": "Co2RuBr", "functional": "PBE", "state": "optimized geometry", "space_group": "No. 47", "volume_a3_per_cell": 63.3, "e_above_lowest_polymorph_mev_per_atom": 0, "e_tot_ev_per_cell": -23.06, "formation_energy_uncorrected_ev_per_atom": 0.526, "rho_g_cm3": 7.8, "dos_ef_per_ev_fu": 4.4, "magnetic_moment_mub_per_atom": 1.0792, "lattice_angstrom": [[3.0090, 0.0000, 0.0000], [0.0000, 3.0854, -0.0200], [0.0000, 0.0441, 6.8194]], "species": ["Co", "Co", "Br", "Ru"], "frac_coords": [[0.0000, 0.7501, 0.4451], [0.0000, 0.7499, 0.0549], [0.5000, 0.7500, 0.7500], [0.5000, 0.2500, 0.2500]]}


No. 2
{"formula": "K2AgICl", "functional": "PBE", "state": "optimized geometry", "space_group": "No. 123", "volume_a3_per_cell": 259.0, "e_tot_ev_per_cell": -10.53, "formation_energy_uncorrected_ev_per_atom": -0.417, "rho_g_cm3": 2.2, "dos_ef_per_ev_fu": 1.9, "magnetic_moment_mub_per_atom": 0.0000, "lattice_angstrom": [[-3.2842, -1.2234, -5.7275], [-3.3076, -3.8321, 2.7152], [-4.3991, 4.8503, 1.4865]], "species": ["K", "K", "Cl", "Ag", "I"], "frac_coords": [[0.5000, 0.0000, 0.0000], [0.0000, 0.0000, 0.5000], [0.0000, 0.5000, 0.0000], [0.5000, 0.5000, 0.5000], [0.0000, 0.0000, 0.0000]]}


No. 3
{"formula": "CaMn2Rh", "functional": "PBE", "state": "optimized geometry", "space_group": "No. 44", "volume_a3_per_cell": 73.5, "e_tot_ev_per_cell": -26.66, "rho_g_cm3": 5.7, "dos_ef_per_ev_fu": 3.4, "magnetic_moment_mub_per_atom": 2.0509, "e_form_ev_per_atom": 0.26, "lattice_angstrom": [[5.3889, 0.1046, -0.2889], [2.2515, 4.8972, 0.2889], [-3.2902, -3.3105, 2.7111]], "species": ["Mn", "Mn", "Rh", "Ca"], "frac_coords": [[0.9964, 0.9964, 0.0000], [0.7137, 0.2137, 0.5000], [0.5184, 0.5184, 0.0000], [0.2715, 0.7715, 0.5000]]}


No. 4
{"formula": "FeTcOs", "functional": "PBE", "state": "optimized geometry", "space_group": "No. 156", "volume_a3_per_cell": 40.9, "e_above_lowest_polymorph_mev_per_atom": 142, "e_tot_ev_per_cell": -29.66, "rho_g_cm3": 14.0, "dos_ef_per_ev_fu": 2.6, "magnetic_moment_mub_per_atom": 0.5780, "e_form_ev_per_atom": 0.13, "lattice_angstrom": [[-1.1074, 2.0566, -1.3490], [0.1078, -2.4491, -1.1254], [-5.7823, -1.4323, 2.5632]], "species": ["Os", "Tc", "Fe"], "frac_coords": [[0.6667, 0.3333, 0.3280], [0.3333, 0.6667, 0.6705], [0.0000, 0.0000, 0.0015]]}